Record 1
Compound: Co2GeSe3
Source: OQMD
Functional: PBE
Structure: relaxed

Values from the calculation:
symmetry: Cmcm
energy: -4.954 eV/atom

a = 6.5057 Å, b = 6.5057 Å, c = 9.7728 Å
α = 90.00°, β = 90.00°, γ = 31.19°
Last column: nearest neighbours and their distance in Å.
Fractional coordinates of all 12 atoms:
1 Se 0.6302 0.6302 0.5328  3 Co 2.31-2.41
2 Ge 0.2103 0.2103 0.7500  2 Co 2.60
3 Se 0.6302 0.6302 0.9672  3 Co 2.31-2.41
4 Co 0.4431 0.4431 0.2500  4 Se 2.31-2.32
5 Co 0.0000 0.0000 0.5000  6 Se 2.41-2.57
6 Se 0.3698 0.3698 0.0328  3 Co 2.31-2.41
7 Se 0.0646 0.0646 0.2500  4 Co 2.32-2.57
8 Co 0.0000 0.0000 0.0000  6 Se 2.41-2.57
9 Co 0.5569 0.5569 0.7500  4 Se 2.31-2.32
10 Se 0.3698 0.3698 0.4672  3 Co 2.31-2.41
11 Ge 0.7897 0.7897 0.2500  2 Co 2.60
12 Se 0.9354 0.9354 0.7500  4 Co 2.32-2.57

=====

Record 2
Compound: Co2Ge3Se3
Source: OQMD
Functional: PBE
Structure: relaxed

Values from the calculation:
symmetry: R3
energy: -5.172 eV/atom

a = 8.3472 Å, b = 8.3472 Å, c = 8.3472 Å
α = 90.05°, β = 90.05°, γ = 89.95°
Last column: nearest neighbours and their distance in Å.
Fractional coordinates of all 32 atoms:
1 Ge 0.5748 0.0895 0.7538  2 Co 2.32-2.34, 1 Se 2.56
2 Se 0.2432 0.9014 0.9015  2 Co 2.36-2.40, 1 Ge 2.57
3 Ge 0.0895 0.2462 0.4252  2 Co 2.32-2.34, 1 Se 2.56
4 Co 0.9975 0.9975 0.0025  3 Ge 2.34, 3 Se 2.36
5 Se 0.7480 0.0928 0.4023  2 Co 2.37-2.38, 1 Ge 2.56
6 Ge 0.5892 0.7499 0.5801  2 Co 2.32-2.34, 1 Se 2.56
7 Se 0.2508 0.5929 0.6041  2 Co 2.36-2.39, 1 Ge 2.56
8 Se 0.0928 0.5977 0.2520  2 Co 2.37-2.38, 1 Ge 2.56
9 Ge 0.4199 0.5892 0.2501  2 Co 2.32-2.34, 1 Se 2.56
10 Co 0.9951 0.4941 0.0046  3 Ge 2.32-2.34, 3 Se 2.36-2.40
11 Co 0.4941 0.9954 0.0049  3 Ge 2.32-2.34, 3 Se 2.36-2.40
12 Co 0.4989 0.0003 0.5011  3 Ge 2.32-2.34, 3 Se 2.37-2.39
13 Co 0.9954 0.9951 0.5059  3 Ge 2.32-2.34, 3 Se 2.36-2.40
14 Ge 0.2479 0.9189 0.5947  2 Co 2.32-2.34, 1 Se 2.57
15 Co 0.4989 0.4989 0.9997  3 Ge 2.32-2.34, 3 Se 2.37-2.39
16 Ge 0.7499 0.4199 0.4108  2 Co 2.32-2.34, 1 Se 2.56
17 Ge 0.7446 0.0749 0.0961  2 Co 2.32-2.34, 1 Se 2.56
18 Co 0.0003 0.4989 0.5011  3 Ge 2.32-2.34, 3 Se 2.37-2.39
19 Ge 0.2462 0.5749 0.9105  2 Co 2.32-2.34, 1 Se 2.56
20 Se 0.0985 0.2432 0.0986  2 Co 2.36-2.40, 1 Ge 2.57
21 Se 0.8959 0.7465 0.5977  2 Co 2.36-2.38, 1 Ge 2.56
22 Co 0.4968 0.4968 0.5032  3 Ge 2.34, 3 Se 2.36
23 Se 0.7465 0.4023 0.1041  2 Co 2.36-2.38, 1 Ge 2.56
24 Se 0.5929 0.3959 0.7492  2 Co 2.36-2.39, 1 Ge 2.56
25 Ge 0.9039 0.7446 0.9251  2 Co 2.32-2.34, 1 Se 2.56
26 Se 0.3959 0.2508 0.4071  2 Co 2.36-2.39, 1 Ge 2.56
27 Ge 0.0749 0.9039 0.2554  2 Co 2.32-2.34, 1 Se 2.56
28 Se 0.9014 0.0985 0.7568  2 Co 2.36-2.40, 1 Ge 2.57
29 Se 0.5977 0.7480 0.9072  2 Co 2.37-2.38, 1 Ge 2.56
30 Ge 0.9189 0.4053 0.7521  2 Co 2.32-2.34, 1 Se 2.57
31 Ge 0.4053 0.2479 0.0811  2 Co 2.32-2.34, 1 Se 2.57
32 Se 0.4023 0.8959 0.2535  2 Co 2.36-2.38, 1 Ge 2.56

=====

Record 3
Compound: TlCoGeSe3
Source: OQMD
Functional: PBE
Structure: relaxed

Values from the calculation:
symmetry: P2_1/m
energy: -4.355 eV/atom

a = 8.2575 Å, b = 3.6648 Å, c = 10.0889 Å
α = 90.00°, β = 108.48°, γ = 90.00°
Last column: nearest neighbours and their distance in Å.
Fractional coordinates of all 12 atoms:
1 Se 0.9279 0.2500 0.0947  3 Co 2.36-2.41
2 Se 0.0721 0.7500 0.9053  3 Co 2.36-2.41
3 Tl 0.7260 0.7500 0.2639  5 Se 3.28-3.56, 1 Ge 3.29, 2 Tl 3.66
4 Ge 0.3673 0.2500 0.4421  3 Se 2.48-2.54
5 Se 0.8571 0.2500 0.6004  1 Co 2.49, 2 Ge 2.54
6 Se 0.1429 0.7500 0.3996  1 Co 2.49, 2 Ge 2.54
7 Ge 0.6327 0.7500 0.5579  3 Se 2.48-2.54
8 Se 0.3374 0.2500 0.1900  2 Co 2.46, 1 Ge 2.48
9 Se 0.6626 0.7500 0.8100  2 Co 2.46, 1 Ge 2.48
10 Co 0.1281 0.7500 0.1495  6 Se 2.36-2.49
11 Co 0.8719 0.2500 0.8505  6 Se 2.36-2.49
12 Tl 0.2740 0.2500 0.7361  5 Se 3.28-3.56, 1 Ge 3.29, 2 Tl 3.66

=====

Record 4
Compound: ZnCoGeSe3
Source: OQMD
Functional: PBE
Structure: relaxed

Values from the calculation:
symmetry: Cmcm
excess energy over the best structure of this formula in the dataset: 0.00 kJ per mole of atoms

a = 3.6496 Å, b = 6.5368 Å, c = 10.8249 Å
α = 90.00°, β = 90.00°, γ = 73.79°
Last column: nearest neighbours and their distance in Å.
Fractional coordinates of all 12 atoms:
1 Se 0.9217 0.1567 0.2500  2 Co 2.32
2 Se 0.0783 0.8433 0.7500  2 Co 2.32
3 Se 0.6363 0.7274 0.4355  1 Co 2.37, 2 Zn 2.60
4 Co 0.4642 0.0716 0.7500  4 Se 2.32-2.37
5 Zn 0.0000 0.0000 0.5000  6 Se 2.60-2.88
6 Ge 0.8037 0.3926 0.7500  2 Co 2.72, 4 Se 2.82
7 Ge 0.1963 0.6074 0.2500  2 Co 2.72, 4 Se 2.82
8 Se 0.3637 0.2726 0.5645  1 Co 2.37, 2 Zn 2.60
9 Se 0.3637 0.2726 0.9355  1 Co 2.37, 2 Zn 2.60
10 Zn 0.0000 0.0000 0.0000  6 Se 2.60-2.88
11 Se 0.6363 0.7274 0.0645  1 Co 2.37, 2 Zn 2.60
12 Co 0.5358 0.9284 0.2500  4 Se 2.32-2.37

=====

Record 5
Compound: ZnCoGeSe3
Source: OQMD
Functional: PBE
Structure: relaxed

Values from the calculation:
symmetry: Cmcm
excess energy over the best structure of this formula in the dataset: 5.09 kJ per mole of atoms

a = 6.6800 Å, b = 6.6800 Å, c = 9.4468 Å
α = 90.00°, β = 90.00°, γ = 32.72°
Last column: nearest neighbours and their distance in Å.
Fractional coordinates of all 12 atoms:
1 Ge 0.7638 0.7638 0.2500  8 Se 2.88-3.21
2 Zn 0.4723 0.4723 0.2500  4 Se 2.40-2.44
3 Se 0.3665 0.3665 0.0401  1 Zn 2.40, 2 Co 2.57
4 Se 0.6335 0.6335 0.9599  1 Zn 2.40, 2 Co 2.57
5 Se 0.6335 0.6335 0.5401  1 Zn 2.40, 2 Co 2.57
6 Se 0.3665 0.3665 0.4599  1 Zn 2.40, 2 Co 2.57
7 Zn 0.5277 0.5277 0.7500  4 Se 2.40-2.44
8 Ge 0.2362 0.2362 0.7500  8 Se 2.88-3.21
9 Co 0.0000 0.0000 0.0000  6 Se 2.57-2.65
10 Se 0.9063 0.9063 0.7500  2 Zn 2.44, 2 Co 2.65
11 Co 0.0000 0.0000 0.5000  6 Se 2.57-2.65
12 Se 0.0937 0.0937 0.2500  2 Zn 2.44, 2 Co 2.65

=====

Record 6
Compound: CoSi2Ge
Source: OQMD
Functional: PBE
Structure: relaxed

Values from the calculation:
symmetry: F-43m
energy: -5.284 eV/atom

a = 4.2915 Å, b = 4.2915 Å, c = 4.2915 Å
α = 60.00°, β = 60.00°, γ = 60.00°
Last column: nearest neighbours and their distance in Å.
Fractional coordinates of all 4 atoms:
1 Si 0.7500 0.7500 0.7500  4 Ge 2.63, 4 Si 2.63
2 Co 0.2500 0.2500 0.2500  4 Ge 2.63, 4 Si 2.63
3 Ge 0.5000 0.5000 0.5000  4 Si 2.63, 4 Co 2.63
4 Si 0.0000 0.0000 0.0000  4 Co 2.63, 4 Si 2.63